# 1
Cd2IrRh after structural relaxation. Source: the Alexandria database, functional PBE.

Summary:
Energy relative to the elements in eV/atom: 0.1119
Space-group type: No. 12
Energy in eV per formula unit: -17.60
Crystal system: monoclinic

POSCAR file:
```
Cd2IrRh
1.0
1.4542 4.6591 -0.0023
-1.4542 4.6591 -0.0023
0.0000 0.9047 4.9620
Cd Ir Rh
2 1 1
Cartesian
0.0000 3.0082 3.7255
0.0000 7.2147 1.2318
0.0000 0.4523 2.4810
0.0000 4.6591 -0.0023
```



# 2
SnRu2Br after structural relaxation. Source: the Alexandria database, functional PBE.

Summary:
Space-group type: No. 122
Uncorrected formation energy in meV per atom: 644.9
Energy in eV per formula unit: -21.65
Crystal system: tetragonal

POSCAR file:
```
SnRu2Br
1.0
-1.3604 -4.2228 -0.1153
2.7652 -0.7986 -3.3781
6.5338 -4.5327 3.5047
Ru Sn Br
4 2 2
Cartesian
1.2186 -3.5936 0.3894
3.1019 -2.4387 -1.2572
5.6096 -5.3352 1.0956
5.9471 -7.7405 -0.2054
0.0000 0.0000 0.0000
2.9379 -5.6331 0.8213
0.7024 -2.5107 -1.7467
5.0007 -3.9210 -0.8101
```



# 3
Tb3Nd5Bi8 after structural relaxation. Source: the Alexandria database, functional PBE.

Summary:
Energy relative to the elements in eV/atom: -0.9202
Space-group type: No. 166
Energy in eV per formula unit: -83.50
Crystal system: trigonal

POSCAR file:
```
Tb3Nd5Bi8
1.0
7.9268 0.0000 4.5405
2.6630 7.4661 4.5405
0.0327 0.0231 9.1323
Tb Nd Bi
3 5 8
Cartesian
3.9798 0.0115 6.8364
0.0164 0.0115 4.5662
1.3479 3.7446 6.8364
3.9634 0.0000 2.2702
5.2949 3.7330 4.5405
0.0000 0.0000 0.0000
1.3315 3.7330 2.2702
5.3113 3.7446 9.1067
2.6718 1.8837 9.0732
4.0168 5.6546 11.3665
6.6754 1.8837 11.3665
7.9933 5.6355 13.6139
7.9507 5.6054 9.1401
6.6057 1.8345 6.8469
3.9471 5.6054 6.8469
2.6292 1.8537 4.5995
```



# 4
RbSn2Ir after structural relaxation. Source: the Alexandria database, functional PBE.

Summary:
Energy relative to the elements in eV/atom: -0.1521
Space-group type: No. 160
Energy in eV per formula unit: -18.44
Crystal system: trigonal

POSCAR file:
```
RbSn2Ir
1.0
4.4602 0.0000 0.0000
2.2301 3.8626 0.0000
2.2301 1.2875 7.1946
Rb Sn Ir
1 2 1
Cartesian
4.4602 2.5751 3.6627
2.2301 1.2875 6.2661
2.2301 1.2875 0.9102
6.6903 3.8626 7.1475
```



# 5
NaZn2Ir2 after structural relaxation. Source: the Alexandria database, functional PBE.

Summary:
Energy relative to the elements in eV/atom: 0.1723
Space-group type: No. 139
Energy in eV per formula unit: -20.73
Crystal system: tetragonal

POSCAR file:
```
NaZn2Ir2
1.0
4.5034 0.0000 0.0000
0.0000 4.5034 0.0000
2.2517 2.2517 4.6416
Na Zn Ir
1 2 2
Cartesian
0.0000 0.0000 0.0000
4.5034 2.2517 2.3208
2.2517 4.5034 2.3208
2.2517 2.2517 1.1873
4.5034 4.5034 3.4543
```



# 6
Tl2SiW after structural relaxation. Source: the Alexandria database, functional PBE.

Summary:
Space-group type: No. 166
Uncorrected formation energy in meV per atom: 978.6
Energy in eV per formula unit: -19.19
Crystal system: trigonal

POSCAR file:
```
Tl2SiW
1.0
-6.9006 8.4642 -0.2890
-8.8420 6.3087 -1.1678
-8.3600 6.8025 1.7838
Si Tl W
1 2 1
Cartesian
-18.0769 16.1816 0.2453
-23.9916 21.4761 0.3255
-12.1622 10.8870 0.1650
-6.0256 5.3939 0.0818
```



# 7
Li2MgSn5 after structural relaxation. Source: the Alexandria database, functional PBE.

Summary:
Energy relative to the elements in eV/atom: -0.1293
Space-group type: No. 140
Energy in eV per formula unit: -26.47
Crystal system: tetragonal

POSCAR file:
```
Li2MgSn5
1.0
7.7170 0.0000 0.0000
0.0000 7.7170 0.0000
-3.8585 -3.8585 6.3431
Li Mg Sn
4 2 10
Cartesian
1.1128 2.7457 0.0000
4.9713 1.1128 0.0000
2.7457 6.6042 0.0000
6.6041 4.9713 0.0000
3.8585 3.8585 3.1716
0.0000 0.0000 3.1716
1.1296 2.7289 4.3357
4.9881 -1.1296 2.0074
0.0000 0.0000 0.0000
3.8585 3.8585 0.0000
-1.1296 4.9881 4.3357
2.7289 -1.1296 4.3357
4.9881 1.1296 4.3357
1.1296 4.9881 2.0074
-1.1296 2.7289 2.0074
2.7289 1.1296 2.0074
```



# 8
GdCdPbAu after structural relaxation. Source: the Alexandria database, functional PBE.

Summary:
Energy relative to the elements in eV/atom: -0.3828
Space-group type: No. 216
Energy in eV per formula unit: -23.51
Crystal system: cubic

POSCAR file:
```
GdCdPbAu
1.0
5.1807 0.0000 0.0000
2.5904 4.4866 0.0000
2.5904 1.4955 4.2300
Pb Gd Au Cd
1 1 1 1
Cartesian
0.0000 0.0000 0.0000
5.1807 2.9911 2.1150
2.5904 1.4955 1.0575
7.7711 4.4866 3.1725
```